Ti3W: relaxed, PBE.

abc: 2.712 5.296 5.534
angles: 118.59 104.18 90.00
Fractional positions:
W (0.000, 0.039, 0.000)
Ti (0.251, 0.554, 0.503)
Ti (0.500, 0.523, 0.000)
Ti (0.749, 0.051, 0.497)

Properties
DFT total energy ... -9.057 eV/atom

=====

RbCdHg6: relaxed, PBE.

abc: 5.448 5.448 9.939
angles: 74.09 74.09 60.00
Fractional positions:
Rb (0.500, 0.500, 0.500)
Cd (0.000, 0.000, 0.000)
Hg (0.640, 0.640, 0.079)
Hg (0.105, 0.105, 0.685)
Hg (0.895, 0.895, 0.315)
Hg (0.360, 0.360, 0.921)
Hg (0.243, 0.243, 0.270)
Hg (0.757, 0.757, 0.730)

Properties
Energy above the lowest structure with this stoichiometry ... 0 kJ/mol of formula units

=====

UIn2O6: relaxed, PBE.

abc: 4.728 5.456 5.456
angles: 120.00 90.00 90.00
Fractional positions:
U (0.000, 0.000, 0.000)
In (0.500, 0.667, 0.333)
In (0.500, 0.333, 0.667)
O (0.749, 0.680, 0.680)
O (0.251, 0.680, 0.000)
O (0.251, 0.000, 0.680)
O (0.749, 0.320, 0.000)
O (0.251, 0.320, 0.320)
O (0.749, 0.000, 0.320)

Properties
ΔE_f (raw) ... -2.18 eV/atom

=====

NaP2RuO6: relaxed, PBE.

abc: 5.071 5.071 6.487
angles: 66.99 66.99 60.00
Fractional positions:
Na (0.000, 0.000, 0.000)
P (0.742, 0.742, 0.774)
P (0.258, 0.258, 0.226)
Ru (0.500, 0.500, 0.500)
O (0.077, 0.484, 0.705)
O (0.735, 0.077, 0.705)
O (0.516, 0.265, 0.295)
O (0.923, 0.516, 0.295)
O (0.265, 0.923, 0.295)
O (0.484, 0.735, 0.705)

Properties
ΔE_f (raw) ... -1.43 eV/atom

=====

TaMn3Br: relaxed, PBE.

abc: 4.857 4.857 4.857
angles: 90.00 90.00 90.00
Fractional positions:
Mn (0.000, 0.500, 0.000)
Mn (0.000, 0.000, 0.500)
Mn (0.500, 0.000, 0.000)
Br (0.500, 0.500, 0.500)
Ta (0.000, 0.000, 0.000)

Properties
Energy above the lowest structure with this stoichiometry ... 0 kJ/mol of formula units
ΔE_f (raw) ... 1.33 eV/atom

=====

SmTm5: relaxed, PBE.

abc: 3.586 6.628 8.336
angles: 102.28 90.00 105.70
Fractional positions:
Sm (0.721, 0.442, 0.942)
Tm (0.999, 0.998, 0.003)
Tm (0.666, 0.333, 0.334)
Tm (0.335, 0.670, 0.664)
Tm (0.389, 0.779, 0.281)
Tm (0.055, 0.111, 0.609)

Properties
Energy above the lowest structure with this stoichiometry ... 0 kJ/mol of formula units